Entry 1:
Material: Pu2Ag4Te5
Method: DFT, GGA-PBE
State: optimized geometry

extended XYZ file:
```
11
Lattice="4.5288 0.0000 0.0000 2.2644 3.9220 0.0000 2.2644 1.3073 18.6503" Properties=species:S:1:pos:R:3 pbc="T T T"
Pu 6.7932 3.9220 7.4923
Pu 2.2644 1.3073 11.1580
Te 4.5288 2.6147 1.9497
Te 4.5288 2.6147 9.3252
Te 4.5288 2.6147 16.7006
Te 6.7932 3.9220 12.8510
Te 2.2644 1.3073 5.7993
Ag 4.5288 2.6147 13.9466
Ag 4.5288 2.6147 4.7037
Ag 2.2644 1.3073 1.0212
Ag 6.7932 3.9220 17.6291
```

Summary:
- electronic total energy (eV/atom) = -5.507

***

Entry 2:
Material: Pu2AgTe
Method: DFT, GGA-PBE
State: optimized geometry

extended XYZ file:
```
4
Lattice="-2.8596 1.0288 -3.0747 -2.7412 -2.9921 -1.4909 -6.8224 1.2684 3.7303" Properties=species:S:1:pos:R:3 pbc="T T T"
Ag 0.0000 0.0000 0.0000
Pu -3.0678 -0.1885 -0.2491
Pu -9.3555 -0.5064 -0.5862
Te -6.2116 -0.3475 -0.4177
```

Summary:
- excess energy over the best structure of this formula in the dataset (kJ/mol of atoms) = 14.6
- electronic total energy (eV/atom) = -8.934

***

Entry 3:
Material: Pu4AgTe5
Method: DFT, GGA-PBE
State: optimized geometry

extended XYZ file:
```
10
Lattice="-2.7166 2.1178 -2.7455 -3.2873 -0.4635 2.8951 6.9614 12.9374 6.6248" Properties=species:S:1:pos:R:3 pbc="T T T"
Pu -2.2366 3.4880 1.3699
Pu -0.6390 9.0417 4.0731
Pu 3.1940 11.1036 5.4045
Pu 1.5964 5.5499 2.7013
Ag 0.0000 0.0000 0.0000
Te 0.7979 2.7737 1.3501
Te -3.0020 0.8271 0.0748
Te -1.4253 6.3084 2.7427
Te 2.3827 8.2832 4.0317
Te 0.1595 11.8179 5.4243
```

Summary:
- electronic total energy (eV/atom) = -8.453

***

Entry 4:
Material: PuAg2Te3
Method: DFT, GGA-PBE
State: optimized geometry

extended XYZ file:
```
12
Lattice="4.4656 0.0000 0.0000 0.0000 7.1247 -0.8191 0.0000 -4.2779 12.2389" Properties=species:S:1:pos:R:3 pbc="T T T"
Te 3.3492 0.3702 9.9936
Te 3.3492 -0.6396 2.5861
Te 1.1164 3.4865 8.8337
Te 3.3492 3.2892 4.7335
Te 1.1164 -0.4424 6.6863
Te 1.1164 2.4767 1.4262
Ag 3.3492 0.4362 5.1378
Ag 1.1164 -1.0646 10.8972
Ag 1.1164 2.4106 6.2820
Ag 3.3492 3.9114 0.5226
Pu 3.3492 -2.0770 8.1992
Pu 1.1164 4.9238 3.2205
```

Summary:
- excess energy over the best structure of this formula in the dataset (kJ/mol of atoms) = 0.0
- electronic total energy (eV/atom) = -5.342

***

no.,formation energy (no corrections) (meV per atom)
1,-436.7
2,-269.9
3,-863.8
4,-432.2